LaSnS2O | PBE | relaxed

a = 3.9843 Å, b = 3.9843 Å, c = 13.7676 Å
α = 90.00°, β = 90.00°, γ = 90.00°
Last column: nearest neighbours and their distance in Å.
Element x y z (fractional)
S1 0.0000 0.5000 0.0999  5 Sn 2.83-3.04
Sn1 0.0000 0.5000 0.8789  1 S 2.45
O1 0.0000 0.0000 0.5000  4 La 2.37
O2 0.5000 0.5000 0.5000  4 La 2.37
S2 0.5000 0.0000 0.2988  1 Sn 2.45
S3 0.0000 0.5000 0.7012  1 Sn 2.45
Sn2 0.5000 0.0000 0.1211  1 S 2.45
La1 0.0000 0.5000 0.4069  4 O 2.37
S4 0.5000 0.0000 0.9001  5 Sn 2.83-3.04
La2 0.5000 0.0000 0.5931  4 O 2.37

Properties
M_tot   0.000 μB/atom
Total DFT energy (no corrections)   -6.17 eV per atom
Space-group type   P4/nmm (129)
Crystal system   tetragonal
Formation energy from raw total energies   -1.740 eV/atom